Compound: CsNbSe3
Source: Alexandria via LeMat-Bulk
Functional: PBE-GGA
Structure: relaxed

Summary:
Space group ... P1 (1)
Total magnetization ... 0.0 Bohr magnetons per cell
Uncorrected energy ... -52.6 eV per cell

Cell and atoms, written as POSCAR:
```
CsNbSe3
1.0
-8.147 0.372 2.396
-2.820 -4.943 6.296
1.455 4.565 4.237
Cs Nb Se
2 2 6
Direct
0.885 0.336 0.763 Cs
0.552 0.001 0.264 Cs
0.218 0.669 0.723 Nb
0.218 0.669 0.223 Nb
0.989 0.920 0.464 Se
0.241 0.417 0.964 Se
0.967 0.897 0.964 Se
0.446 0.691 0.964 Se
0.196 0.440 0.464 Se
0.469 0.646 0.464 Se
```

---

Compound: CsNbSe3
Source: Alexandria via LeMat-Bulk
Functional: PBE-GGA
Structure: relaxed

Summary:
Space group ... Amm2 (38)
Total magnetization ... 0.0 Bohr magnetons per cell
Uncorrected energy ... -25.2 eV per cell

Cell and atoms, written as POSCAR:
```
CsNbSe3
1.0
-1.137 -1.629 -3.066
7.285 -5.759 0.359
-8.143 -1.926 4.043
Cs Nb Se
1 1 3
Direct
0.500 0.077 0.923 Cs
0.000 0.405 0.595 Nb
0.500 0.248 0.363 Se
0.500 0.637 0.752 Se
0.000 0.261 0.739 Se
```

---

Compound: Cs3NbSe4
Source: Alexandria via LeMat-Bulk
Functional: PBE-GGA
Structure: relaxed

Summary:
Space group ... Imm2 (44)
Total magnetization ... 0.0 Bohr magnetons per cell
Uncorrected energy ... -35.4 eV per cell

Cell and atoms, written as POSCAR:
```
Cs3NbSe4
1.0
7.886 -0.164 -0.026
-4.026 6.783 0.026
-3.452 -2.422 6.666
Cs Nb Se
3 1 4
Direct
0.574 0.239 0.814 Cs
0.996 0.000 0.996 Cs
0.574 0.761 0.335 Cs
0.004 0.500 0.504 Nb
0.165 0.685 0.850 Se
0.165 0.315 0.481 Se
0.582 0.247 0.336 Se
0.089 0.753 0.336 Se
```

---

Compound: CsNbSe3
Source: Alexandria via LeMat-Bulk
Functional: PBE-GGA
Structure: relaxed

Summary:
Space group ... R-3 (148)
Total magnetization ... 0.0 Bohr magnetons per cell
Uncorrected energy ... -51.8 eV per cell

Cell and atoms, written as POSCAR:
```
CsNbSe3
1.0
-1.516 -5.997 6.219
4.810 -2.889 6.743
-1.017 0.605 8.691
Cs Nb Se
2 2 6
Direct
0.375 0.375 0.375 Cs
0.625 0.625 0.625 Cs
0.178 0.178 0.178 Nb
0.822 0.822 0.822 Nb
0.419 0.971 0.902 Se
0.971 0.902 0.419 Se
0.098 0.581 0.029 Se
0.029 0.098 0.581 Se
0.581 0.029 0.098 Se
0.902 0.419 0.971 Se
```

---

Compound: CsNbSe3
Source: Alexandria via LeMat-Bulk
Functional: PBE-GGA
Structure: relaxed

Summary:
Space group ... Amm2 (38)
Total magnetization ... 0.0 Bohr magnetons per cell
Uncorrected energy ... -25.8 eV per cell

Cell and atoms, written as POSCAR:
```
CsNbSe3
1.0
4.337 0.000 0.000
0.000 4.039 -5.023
0.000 4.039 5.023
Cs Nb Se
1 1 3
Direct
0.000 0.617 0.383 Cs
0.500 0.216 0.784 Nb
0.500 0.121 0.411 Se
0.500 0.589 0.879 Se
0.000 0.085 0.915 Se
```

---

Compound: CsNbSe
Source: Alexandria via LeMat-Bulk
Functional: PBE-GGA
Structure: relaxed

Summary:
Space group ... C2/m (12)
Total magnetization ... 0.0 Bohr magnetons per cell
Uncorrected energy ... -30.6 eV per cell

Cell and atoms, written as POSCAR:
```
CsNbSe
1.0
-2.732 1.662 1.819
-3.578 -7.992 -1.790
0.365 1.021 7.053
Cs Se Nb
2 2 2
Direct
0.766 0.664 0.816 Cs
0.234 0.336 0.184 Cs
0.246 0.253 0.630 Se
0.754 0.747 0.370 Se
0.608 0.043 0.664 Nb
0.392 0.957 0.336 Nb
```

---

Compound: CsNbSe3
Source: Alexandria via LeMat-Bulk
Functional: PBE-GGA
Structure: relaxed

Summary:
Space group ... P2_1/c (14)
Total magnetization ... 0.0 Bohr magnetons per cell
Uncorrected energy ... -103.1 eV per cell

Cell and atoms, written as POSCAR:
```
CsNbSe3
1.0
20.919 0.000 -4.178
0.000 6.686 0.000
-7.489 0.000 6.427
Cs Nb Se
4 4 12
Direct
0.328 0.810 0.236 Cs
0.672 0.190 0.764 Cs
0.172 0.310 0.264 Cs
0.828 0.690 0.736 Cs
0.082 0.083 0.494 Nb
0.918 0.917 0.506 Nb
0.418 0.583 0.006 Nb
0.582 0.417 0.994 Nb
0.258 0.906 0.710 Se
0.742 0.094 0.290 Se
0.242 0.406 0.790 Se
0.758 0.594 0.210 Se
0.435 0.322 0.545 Se
0.565 0.678 0.455 Se
0.065 0.822 0.955 Se
0.935 0.178 0.045 Se
0.488 0.740 0.910 Se
0.512 0.260 0.090 Se
0.012 0.240 0.590 Se
0.988 0.760 0.410 Se
```

---

Compound: CsNb2Se4
Source: Alexandria via LeMat-Bulk
Functional: PBE-GGA
Structure: relaxed

Summary:
Space group ... Cmcm (63)
Total magnetization ... 2.1 Bohr magnetons per cell
Uncorrected energy ... -79.5 eV per cell

Cell and atoms, written as POSCAR:
```
CsNb2Se4
1.0
-1.123 -1.325 3.795
4.083 -4.660 -2.713
10.428 6.099 5.216
Cs Nb Se
2 4 8
Direct
0.620 0.241 0.750 Cs
0.380 0.759 0.250 Cs
0.115 0.229 0.441 Nb
0.885 0.771 0.941 Nb
0.115 0.229 0.059 Nb
0.885 0.771 0.559 Nb
0.749 0.497 0.093 Se
0.749 0.497 0.407 Se
0.251 0.503 0.907 Se
0.251 0.503 0.593 Se
0.914 0.828 0.750 Se
0.086 0.172 0.250 Se
0.500 0.000 0.000 Se
0.500 0.000 0.500 Se
```

---

Compound: CsNb3Se
Source: Alexandria via LeMat-Bulk
Functional: PBE-GGA
Structure: relaxed

Summary:
Space group ... Pm-3m (221)
Total magnetization ... 0.0 Bohr magnetons per cell
Uncorrected energy ... -21.3 eV per cell

Cell and atoms, written as POSCAR:
```
CsNb3Se
1.0
5.050 0.000 0.000
0.000 5.050 0.000
0.000 0.000 5.050
Cs Nb Se
1 3 1
Direct
0.000 0.000 0.000 Cs
0.000 0.500 0.000 Nb
0.000 0.000 0.500 Nb
0.500 0.000 0.000 Nb
0.500 0.500 0.500 Se
```

---

Compound: CsNbSe3
Source: Alexandria via LeMat-Bulk
Functional: PBE-GGA
Structure: relaxed

Summary:
Space group ... I-4m2 (119)
Total magnetization ... 0.6 Bohr magnetons per cell
Uncorrected energy ... -46.6 eV per cell

Cell and atoms, written as POSCAR:
```
CsNbSe3
1.0
6.124 0.000 0.000
0.000 6.124 0.000
3.062 3.062 8.183
Cs Nb Se
2 2 6
Direct
0.634 0.134 0.732 Cs
0.866 0.366 0.268 Cs
0.000 0.000 0.000 Nb
0.250 0.750 0.500 Nb
0.615 0.896 0.208 Se
0.104 0.385 0.792 Se
0.104 0.823 0.792 Se
0.177 0.896 0.208 Se
0.271 0.271 0.458 Se
0.729 0.729 0.542 Se
```

---

Compound: CsNbSe3
Source: Alexandria via LeMat-Bulk
Functional: PBE-GGA
Structure: relaxed

Summary:
Space group ... C2/m (12)
Total magnetization ... 0.0 Bohr magnetons per cell
Uncorrected energy ... -51.7 eV per cell

Cell and atoms, written as POSCAR:
```
CsNbSe3
1.0
23.115 0.000 -2.115
8.887 2.485 -4.219
-8.887 2.485 4.219
Cs Nb Se
2 2 6
Direct
0.757 0.842 0.158 Cs
0.243 0.158 0.842 Cs
0.829 0.997 0.003 Nb
0.171 0.003 0.997 Nb
0.838 0.108 0.892 Se
0.162 0.892 0.108 Se
0.928 0.367 0.633 Se
0.072 0.633 0.367 Se
0.445 0.742 0.258 Se
0.555 0.258 0.742 Se
```

---

Compound: CsNbSe3
Source: Alexandria via LeMat-Bulk
Functional: PBE-GGA
Structure: relaxed

Summary:
Space group ... P2_1/m (11)
Total magnetization ... 0.0 Bohr magnetons per cell
Uncorrected energy ... -52.4 eV per cell

Cell and atoms, written as POSCAR:
```
CsNbSe3
1.0
7.216 0.000 -0.480
0.000 6.891 0.000
-2.993 0.000 7.332
Cs Nb Se
2 2 6
Direct
0.572 0.250 0.824 Cs
0.428 0.750 0.176 Cs
0.895 0.250 0.454 Nb
0.105 0.750 0.546 Nb
0.028 0.493 0.736 Se
0.972 0.507 0.264 Se
0.028 0.007 0.736 Se
0.972 0.993 0.264 Se
0.534 0.250 0.334 Se
0.466 0.750 0.666 Se
```